# 1
Density functional theory data (PBE) for an optimized crystal structure of Pm2Sm3ErSe6.

The structure in CIF format:
```
data_Pm2Sm3ErSe6
_symmetry_space_group_name_H-M 'P 1'
_symmetry_Int_Tables_number 1
_symmetry_space_group_name_Hall 'P 1'
_cell_length_a 4.141
_cell_length_b 8.364
_cell_length_c 9.287
_cell_angle_alpha 102.82
_cell_angle_beta 102.88
_cell_angle_gamma 90.00
loop_
_atom_site_label
_atom_site_fract_x
_atom_site_fract_y
_atom_site_fract_z
Pm1 0.831 0.664 0.663
Pm2 0.169 0.336 0.337
Sm1 0.500 0.500 0.000
Sm2 0.829 0.167 0.659
Sm3 0.171 0.833 0.341
Er1 0.500 0.000 0.000
Se1 0.338 0.921 0.677
Se2 0.665 0.584 0.330
Se3 0.662 0.079 0.323
Se4 0.999 0.240 0.997
Se5 0.001 0.760 0.003
Se6 0.335 0.416 0.670
```

Computed properties:
E_form (uncorrected): -1.802 eV per atom
N(E_F): 0.4832 states/eV per atom
Space group: No. 12

***

# 2
Density functional theory data (PBE) for an optimized crystal structure of Y2Sn2Te.

The structure in CIF format:
```
data_Y2Sn2Te
_symmetry_space_group_name_H-M 'P 1'
_symmetry_Int_Tables_number 1
_symmetry_space_group_name_Hall 'P 1'
_cell_length_a 8.355
_cell_length_b 8.355
_cell_length_c 4.117
_cell_angle_alpha 90.00
_cell_angle_beta 90.00
_cell_angle_gamma 90.00
loop_
_atom_site_label
_atom_site_fract_x
_atom_site_fract_y
_atom_site_fract_z
Y1 0.184 0.684 0.500
Y2 0.684 0.816 0.500
Y3 0.816 0.316 0.500
Y4 0.316 0.184 0.500
Te1 0.000 0.000 0.000
Te2 0.500 0.500 0.000
Sn1 0.381 0.881 0.000
Sn2 0.881 0.619 0.000
Sn3 0.619 0.119 0.000
Sn4 0.119 0.381 0.000
```

Computed properties:
E_form (uncorrected): -0.573 eV per atom
N(E_F): 0.4021 states/eV per atom
ΔE to the lowest computed polymorph: 220.1 meV per atom
Space group: No. 127

***

# 3
Density functional theory data (PBE) for an optimized crystal structure of SbF4.

The structure in CIF format:
```
data_SbF4
_symmetry_space_group_name_H-M 'P 1'
_symmetry_Int_Tables_number 1
_symmetry_space_group_name_Hall 'P 1'
_cell_length_a 12.234
_cell_length_b 9.596
_cell_length_c 11.800
_cell_angle_alpha 73.27
_cell_angle_beta 90.00
_cell_angle_gamma 90.00
loop_
_atom_site_label
_atom_site_fract_x
_atom_site_fract_y
_atom_site_fract_z
Sb1 0.579 0.237 0.560
Sb2 0.079 0.763 0.940
Sb3 0.659 0.770 0.045
Sb4 0.910 0.201 0.708
Sb5 0.921 0.237 0.060
Sb6 0.846 0.385 0.352
Sb7 0.841 0.770 0.545
Sb8 0.341 0.230 0.955
Sb9 0.590 0.201 0.208
Sb10 0.346 0.615 0.148
Sb11 0.421 0.763 0.440
Sb12 0.410 0.799 0.792
Sb13 0.159 0.230 0.455
Sb14 0.654 0.385 0.852
Sb15 0.154 0.615 0.648
Sb16 0.090 0.799 0.292
F1 0.415 0.651 0.324
F2 0.685 0.624 0.966
F3 0.792 0.136 0.132
F4 0.888 0.343 0.543
F5 0.457 0.351 0.491
F6 0.080 0.860 0.061
F7 0.116 0.090 0.378
F8 0.815 0.624 0.466
F9 0.580 0.140 0.439
F10 0.022 0.332 0.730
F11 0.679 0.381 0.461
F12 0.478 0.332 0.230
F13 0.321 0.619 0.539
F14 0.657 0.177 0.901
F15 0.384 0.090 0.878
F16 0.056 0.143 0.584
F17 0.493 0.089 0.663
F18 0.774 0.887 0.962
F19 0.507 0.911 0.337
F20 0.274 0.113 0.538
F21 0.843 0.177 0.401
F22 0.585 0.349 0.676
F23 0.944 0.857 0.416
F24 0.300 0.658 0.753
F25 0.007 0.089 0.163
F26 0.179 0.619 0.039
F27 0.157 0.823 0.599
F28 0.967 0.648 0.627
F29 0.226 0.113 0.038
F30 0.726 0.887 0.462
F31 0.708 0.136 0.632
F32 0.616 0.910 0.122
F33 0.746 0.667 0.176
F34 0.420 0.860 0.561
F35 0.522 0.668 0.770
F36 0.292 0.864 0.368
F37 0.920 0.140 0.939
F38 0.112 0.657 0.457
F39 0.884 0.910 0.622
F40 0.978 0.668 0.270
F41 0.315 0.376 0.034
F42 0.343 0.823 0.099
F43 0.543 0.649 0.509
F44 0.043 0.351 0.991
F45 0.185 0.376 0.534
F46 0.821 0.381 0.961
F47 0.556 0.857 0.916
F48 0.254 0.333 0.824
F49 0.246 0.333 0.324
F50 0.700 0.342 0.247
F51 0.612 0.343 0.043
F52 0.993 0.911 0.837
F53 0.467 0.352 0.873
F54 0.957 0.649 0.009
F55 0.533 0.648 0.127
F56 0.754 0.667 0.676
F57 0.444 0.143 0.084
F58 0.800 0.342 0.747
F59 0.033 0.352 0.373
F60 0.915 0.349 0.176
F61 0.388 0.657 0.957
F62 0.085 0.651 0.824
F63 0.208 0.864 0.868
F64 0.200 0.658 0.253
```

Computed properties:
E_form (uncorrected): -2.321 eV per atom
N(E_F): 0.0000 states/eV per atom
Space group: No. 14

***

# 4
Density functional theory data (PBE) for an optimized crystal structure of MgTl2SnAu.

The structure in CIF format:
```
data_MgTl2SnAu
_symmetry_space_group_name_H-M 'P 1'
_symmetry_Int_Tables_number 1
_symmetry_space_group_name_Hall 'P 1'
_cell_length_a 5.583
_cell_length_b 5.374
_cell_length_c 5.583
_cell_angle_alpha 90.00
_cell_angle_beta 90.00
_cell_angle_gamma 90.00
loop_
_atom_site_label
_atom_site_fract_x
_atom_site_fract_y
_atom_site_fract_z
Mg1 0.500 0.500 0.500
Tl1 0.000 0.000 0.500
Tl2 0.500 0.000 0.000
Au1 0.000 0.000 0.000
Sn1 0.000 0.500 0.000
```

Computed properties:
VASP energy: -12.34 eV per cell
N(E_F): 0.7191 states/eV per atom
Space group: No. 123

***

# 5
Density functional theory data (PBE) for an optimized crystal structure of SrAgS3.

The structure in CIF format:
```
data_SrAgS3
_symmetry_space_group_name_H-M 'P 1'
_symmetry_Int_Tables_number 1
_symmetry_space_group_name_Hall 'P 1'
_cell_length_a 4.893
_cell_length_b 4.893
_cell_length_c 4.893
_cell_angle_alpha 90.00
_cell_angle_beta 90.00
_cell_angle_gamma 90.00
loop_
_atom_site_label
_atom_site_fract_x
_atom_site_fract_y
_atom_site_fract_z
Sr1 0.500 0.500 0.500
S1 0.000 0.500 0.000
S2 0.000 0.000 0.500
S3 0.500 0.000 0.000
Ag1 0.000 0.000 0.000
```

Computed properties:
E_form (uncorrected): -0.427 eV per atom
N(E_F): 0.7409 states/eV per atom
ΔE to the lowest computed polymorph: 0.0 meV per atom
Space group: No. 221

***

# 6
Density functional theory data (PBE) for an optimized crystal structure of CdNiAs.

The structure in CIF format:
```
data_CdNiAs
_symmetry_space_group_name_H-M 'P 1'
_symmetry_Int_Tables_number 1
_symmetry_space_group_name_Hall 'P 1'
_cell_length_a 4.373
_cell_length_b 4.373
_cell_length_c 4.373
_cell_angle_alpha 60.00
_cell_angle_beta 60.00
_cell_angle_gamma 60.00
loop_
_atom_site_label
_atom_site_fract_x
_atom_site_fract_y
_atom_site_fract_z
Cd1 0.250 0.250 0.250
Ni1 0.000 0.000 0.000
As1 0.500 0.500 0.500
```

Computed properties:
VASP energy: -9.98 eV per cell
N(E_F): 1.1681 states/eV per atom
Space group: No. 216

***

# 7
Density functional theory data (PBE) for an optimized crystal structure of Dy2In8Ag.

The structure in CIF format:
```
data_Dy2In8Ag
_symmetry_space_group_name_H-M 'P 1'
_symmetry_Int_Tables_number 1
_symmetry_space_group_name_Hall 'P 1'
_cell_length_a 4.736
_cell_length_b 4.736
_cell_length_c 12.267
_cell_angle_alpha 90.00
_cell_angle_beta 90.00
_cell_angle_gamma 90.00
loop_
_atom_site_label
_atom_site_fract_x
_atom_site_fract_y
_atom_site_fract_z
Dy1 0.000 0.000 0.313
Dy2 0.000 0.000 0.687
In1 0.000 0.500 0.500
In2 0.500 0.000 0.500
In3 0.500 0.500 0.312
In4 0.500 0.500 0.688
In5 0.000 0.500 0.133
In6 0.500 0.000 0.133
In7 0.000 0.500 0.867
In8 0.500 0.000 0.867
Ag1 0.000 0.000 0.000
```

Computed properties:
VASP energy: -37.04 eV per cell
N(E_F): 0.4360 states/eV per atom
Space group: No. 123

***

# 8
Density functional theory data (PBE) for an optimized crystal structure of CePuVN3.

The structure in CIF format:
```
data_CePuVN3
_symmetry_space_group_name_H-M 'P 1'
_symmetry_Int_Tables_number 1
_symmetry_space_group_name_Hall 'P 1'
_cell_length_a 3.390
_cell_length_b 7.319
_cell_length_c 7.427
_cell_angle_alpha 96.96
_cell_angle_beta 90.00
_cell_angle_gamma 90.00
loop_
_atom_site_label
_atom_site_fract_x
_atom_site_fract_y
_atom_site_fract_z
Ce1 0.750 0.835 0.824
Ce2 0.250 0.165 0.176
Pu1 0.250 0.630 0.176
Pu2 0.750 0.370 0.824
V1 0.250 0.099 0.592
V2 0.750 0.901 0.408
N1 0.250 0.831 0.515
N2 0.750 0.883 0.151
N3 0.750 0.403 0.130
N4 0.750 0.169 0.485
N5 0.250 0.597 0.870
N6 0.250 0.117 0.849
```

Computed properties:
E_form (uncorrected): -1.115 eV per atom
N(E_F): 1.4886 states/eV per atom
Space group: No. 11